[1]
DyPu2Pt9: relaxed, PBE-GGA.

Values from the calculation:
Total magnetization, μB/f.u.: 10.06
Crystal system: trigonal

a = 9.442 Å, b = 9.442 Å, c = 9.442 Å
α = 33.21°, β = 33.21°, γ = 33.21°
Sites, in units of the cell vectors:
Dy: 0.000 0.000 0.000
Pu: 0.142 0.142 0.142
Pu: 0.858 0.858 0.858
Pt: 0.081 0.586 0.586
Pt: 0.333 0.333 0.333
Pt: 0.414 0.414 0.919
Pt: 0.414 0.919 0.414
Pt: 0.500 0.500 0.500
Pt: 0.586 0.081 0.586
Pt: 0.586 0.586 0.081
Pt: 0.667 0.667 0.667
Pt: 0.919 0.414 0.414


[2]
HoLu2Sn: relaxed, PBE-GGA.

Values from the calculation:
E above lowest polymorph, eV per atom: 0.428
Total magnetization, μB/f.u.: 0.70
Crystal system: trigonal

a = 11.786 Å, b = 11.786 Å, c = 11.786 Å
α = 16.71°, β = 16.71°, γ = 16.71°
Sites, in units of the cell vectors:
Ho: 0.000 0.000 0.000
Lu: 0.095 0.095 0.095
Lu: 0.905 0.905 0.905
Sn: 0.500 0.500 0.500


| no. | DFT formation energy (kJ/mol of formula units) |
| --- | --- |
| 1 | -898 |
| 2 | 17 |